# Ca3InB | Alexandria via LeMat-Bulk | PBE | relaxed
data_Ca3InB
_chemical_formula_sum 'Ca3 In1 B1'
_cell_length_a 5.283
_cell_length_b 5.283
_cell_length_c 5.283
_cell_angle_alpha 90.00
_cell_angle_beta 90.00
_cell_angle_gamma 90.00
_symmetry_space_group_name_H-M 'P 1'
_symmetry_Int_Tables_number 1
loop_
_symmetry_equiv_pos_as_xyz
'x,y,z'
loop_
_atom_site_label
_atom_site_type_symbol
_atom_site_fract_x
_atom_site_fract_y
_atom_site_fract_z
Ca1 Ca 0.500 0.000 0.000
Ca2 Ca 0.000 0.500 0.000
Ca3 Ca 0.000 0.000 0.500
B1 B 0.000 0.000 0.000
In1 In 0.500 0.500 0.500
# **E above lowest polymorph**: 0.000 eV per atom
# **Formation energy**: 106 meV per atom
# **Space group**: Pm-3m, No. 221
# **V**: 147.5 Å³ per cell
# **Spin magnetization**: 0.19 μB/atom
# **DFT total energy**: -2.9780 eV per atom

=====

# Ca2InBIr | Alexandria via LeMat-Bulk | PBE | relaxed
data_Ca2InBIr
_chemical_formula_sum 'Ca2 In1 B1 Ir1'
_cell_length_a 5.803
_cell_length_b 4.859
_cell_length_c 5.803
_cell_angle_alpha 90.00
_cell_angle_beta 90.00
_cell_angle_gamma 90.00
_symmetry_space_group_name_H-M 'P 1'
_symmetry_Int_Tables_number 1
loop_
_symmetry_equiv_pos_as_xyz
'x,y,z'
loop_
_atom_site_label
_atom_site_type_symbol
_atom_site_fract_x
_atom_site_fract_y
_atom_site_fract_z
Ir1 Ir 0.000 0.500 0.000
In1 In 0.000 0.000 0.000
Ca1 Ca 0.000 0.000 0.500
Ca2 Ca 0.500 0.000 0.000
B1 B 0.500 0.500 0.500
# **Formation energy**: 1295 meV per atom
# **Space group**: P4/mmm, No. 123
# **V**: 163.6 Å³ per cell
# **Spin magnetization**: 0.00 μB/atom
# **DFT total energy**: -3.1608 eV per atom

=====

# Ca2InB2Ir5 | Alexandria via LeMat-Bulk | PBE | relaxed
data_Ca2InB2Ir5
_chemical_formula_sum 'Ca4 In2 B4 Ir10'
_cell_length_a 3.029
_cell_length_b 9.998
_cell_length_c 9.998
_cell_angle_alpha 90.00
_cell_angle_beta 90.00
_cell_angle_gamma 90.00
_symmetry_space_group_name_H-M 'P 1'
_symmetry_Int_Tables_number 1
loop_
_symmetry_equiv_pos_as_xyz
'x,y,z'
loop_
_atom_site_label
_atom_site_type_symbol
_atom_site_fract_x
_atom_site_fract_y
_atom_site_fract_z
Ir1 Ir 0.500 0.000 0.500
Ir2 Ir 0.500 0.500 0.000
Ir3 Ir 0.500 0.271 0.567
Ir4 Ir 0.500 0.433 0.271
Ir5 Ir 0.500 0.229 0.067
Ir6 Ir 0.500 0.729 0.433
Ir7 Ir 0.500 0.771 0.933
Ir8 Ir 0.500 0.067 0.771
Ir9 Ir 0.500 0.933 0.229
Ir10 Ir 0.500 0.567 0.729
Ca1 Ca 0.000 0.821 0.679
Ca2 Ca 0.000 0.679 0.179
Ca3 Ca 0.000 0.179 0.321
Ca4 Ca 0.000 0.321 0.821
B1 B 0.000 0.621 0.879
B2 B 0.000 0.379 0.121
B3 B 0.000 0.879 0.379
B4 B 0.000 0.121 0.621
In1 In 0.000 0.000 0.000
In2 In 0.000 0.500 0.500
# **Formation energy**: -447 meV per atom
# **Space group**: P4/mbm, No. 127
# **V**: 302.8 Å³ per cell
# **Spin magnetization**: 0.00 μB/atom
# **DFT total energy**: -6.8870 eV per atom